No. 1
Below is Ta4Ni after structural relaxation, with properties calculated at the GGA-PBEsol level.

Output
formation energy	0.80	eV/atom
symmetry	Im-3m

Cell lengths 4.952, 4.952, 4.952 Å; angles 109.47, 109.47, 109.47 degrees
Fractional positions:
Ta (0.000, 0.000, 0.500)
Ta (0.000, 0.500, 0.000)
Ta (0.500, 0.000, 0.000)
Ta (0.500, 0.500, 0.500)
Ni (0.000, 0.000, 0.000)

=====

No. 2
Below is TaNi3 after structural relaxation, with properties calculated at the GGA-PBEsol level.

Output
formation energy	-0.35	eV/atom
symmetry	I4/mmm

Cell lengths 7.847, 7.847, 7.847 Å; angles 153.60, 153.60, 37.68 degrees
Fractional positions:
Ta (0.128, 0.128, 0.000)
Ta (0.872, 0.872, 0.000)
Ni (0.000, 0.500, 0.500)
Ni (0.250, 0.750, 0.500)
Ni (0.382, 0.382, 0.000)
Ni (0.500, 0.000, 0.500)
Ni (0.618, 0.618, 0.000)
Ni (0.750, 0.250, 0.500)

=====

No. 3
Below is TaNi4 after structural relaxation, with properties calculated at the GGA-PBEsol level.

Output
formation energy	-0.27	eV/atom
symmetry	I4/m

Cell lengths 4.420, 4.420, 4.420 Å; angles 99.21, 99.21, 132.84 degrees
Fractional positions:
Ta (0.000, 0.000, 0.000)
Ni (0.193, 0.404, 0.598)
Ni (0.404, 0.807, 0.211)
Ni (0.596, 0.193, 0.789)
Ni (0.807, 0.596, 0.402)

=====

No. 4
Below is Ta3Ni4 after structural relaxation, with properties calculated at the GGA-PBEsol level.

Output
formation energy	-0.29	eV/atom
symmetry	I4/mmm

Cell lengths 9.894, 9.894, 9.894 Å; angles 161.80, 161.80, 25.86 degrees
Fractional positions:
Ta (0.000, 0.000, 0.000)
Ta (0.297, 0.297, 0.000)
Ta (0.703, 0.703, 0.000)
Ni (0.135, 0.135, 0.000)
Ni (0.433, 0.433, 0.000)
Ni (0.567, 0.567, 0.000)
Ni (0.865, 0.865, 0.000)

=====

No. 5
Below is Ta5Ni after structural relaxation, with properties calculated at the GGA-PBEsol level.

Output
formation energy	-0.03	eV/atom
symmetry	C2/m

Cell lengths 5.357, 5.357, 6.216 Å; angles 107.18, 107.18, 35.86 degrees
Fractional positions:
Ta (0.000, 0.000, 0.000)
Ta (0.336, 0.336, 0.174)
Ta (0.339, 0.339, 0.665)
Ta (0.661, 0.661, 0.335)
Ta (0.664, 0.664, 0.826)
Ni (0.000, 0.000, 0.500)

=====

No. 6
Below is Ta6Ni7 after structural relaxation, with properties calculated at the GGA-PBEsol level.

Output
formation energy	-0.29	eV/atom
symmetry	R-3m

Cell lengths 9.149, 9.149, 9.149 Å; angles 30.46, 30.46, 30.46 degrees
Fractional positions:
Ta (0.050, 0.050, 0.050)
Ta (0.156, 0.156, 0.156)
Ta (0.331, 0.331, 0.331)
Ta (0.669, 0.669, 0.669)
Ta (0.844, 0.844, 0.844)
Ta (0.950, 0.950, 0.950)
Ni (0.091, 0.591, 0.591)
Ni (0.409, 0.409, 0.909)
Ni (0.409, 0.909, 0.409)
Ni (0.500, 0.500, 0.500)
Ni (0.591, 0.091, 0.591)
Ni (0.591, 0.591, 0.091)
Ni (0.909, 0.409, 0.409)